i | Density functional theory data (GGA-PBE) for a relaxed YSc5 crystal.

It has space group R32 (No. 155, hexagonal axes), with a = 5.8355 Å, b = 5.8355 Å, c = 15.7217 Å, α = 90.00°, β = 90.00° and γ = 120.00°. The distinct sites, in fractional coordinates, are Y at (0.0000, 0.0000, 0.0000), Sc at (0.0000, 0.0000, 0.3320) and Sc at (0.0000, 0.6713, 0.5000).



ii | Density functional theory data (GGA-PBE) for a relaxed YSc5 crystal.

It has space group F-43m (No. 216), with a = 8.676 Å, b = 8.676 Å, c = 8.676 Å, α = 90.00°, β = 90.00° and γ = 90.00°. The distinct sites, in fractional coordinates, are Y at (0.000, 0.000, 0.000), Sc at (0.124, 0.124, 0.376) and Sc at (0.250, 0.250, 0.750).



iii | Density functional theory data (GGA-PBE) for a relaxed YSc5 crystal.

It has space group Cmmm (No. 65), with a = 4.685 Å, b = 14.076 Å, c = 4.679 Å, α = 90.00°, β = 90.00° and γ = 90.00°. The distinct sites, in fractional coordinates, are Y at (0.000, 0.000, 0.000), Sc at (0.000, 0.169, 0.500), Sc at (0.000, 0.330, 0.000) and Sc at (0.000, 0.500, 0.500).



iv | Density functional theory data (GGA-PBE) for a relaxed YSc5 crystal.

It has space group P6/mmm (No. 191), with a = 6.0717 Å, b = 6.0717 Å, c = 5.2059 Å, α = 90.00°, β = 90.00° and γ = 120.00°. The distinct sites, in fractional coordinates, are Y at (0.0000, 0.0000, 0.0000), Sc at (0.0000, 0.5000, 0.5000) and Sc at (0.3333, 0.6667, 0.0000).



Relative energies with respect to the most stable structure, expressed in kJ/mol of atoms: i 0.0; ii 21.1; iii 3.7; iv 24.7.



i | Density functional theory data (GGA-PBE) for a relaxed Y3Sc crystal.

It has space group R-3m (No. 166, hexagonal axes), with a = 11.1639 Å, b = 11.1639 Å, c = 3.4202 Å, α = 90.00°, β = 90.00° and γ = 120.00°. The distinct sites, in fractional coordinates, are Y at (0.0000, 0.5000, 0.0000) and Sc at (0.0000, 0.0000, 0.0000).



ii | Density functional theory data (GGA-PBE) for a relaxed Y3Sc crystal.

It has space group Pmmm (No. 47), with a = 3.517 Å, b = 4.897 Å, c = 7.017 Å, α = 90.00°, β = 90.00° and γ = 90.00°. The distinct sites, in fractional coordinates, are Y at (0.000, 0.000, 0.000), Y at (0.500, 0.500, 0.257) and Sc at (0.000, 0.000, 0.500).



iii | Density functional theory data (GGA-PBE) for a relaxed Y3Sc crystal.

It has space group P-6m2 (No. 187), with a = 3.5723 Å, b = 3.5723 Å, c = 11.0630 Å, α = 90.00°, β = 90.00° and γ = 120.00°. The distinct sites, in fractional coordinates, are Y at (0.0000, 0.0000, 0.0000), Y at (0.3333, 0.6667, 0.2603) and Sc at (0.0000, 0.0000, 0.5000).



iv | Density functional theory data (GGA-PBE) for a relaxed Y3Sc crystal.

It has space group Pm-3m (No. 221), with a = 5.625 Å, b = 5.625 Å, c = 5.625 Å, α = 90.00°, β = 90.00° and γ = 90.00°. The distinct sites, in fractional coordinates, are Y at (0.000, 0.000, 0.500) and Sc at (0.000, 0.000, 0.000).



Relative energies with respect to the most stable structure, expressed in kJ/mol of atoms: i 11.7; ii 2.4; iii 0.0; iv 107.6.



i | Density functional theory data (GGA-PBE) for a relaxed Y3Sc crystal.

It has space group C2/m (No. 12), with a = 11.594 Å, b = 3.507 Å, c = 6.047 Å, α = 90.00°, β = 100.40° and γ = 90.00°. The distinct sites, in fractional coordinates, are Y at (0.000, 0.000, 0.000), Y at (0.245, 0.000, 0.746) and Sc at (0.000, 0.500, 0.500).



ii | Density functional theory data (GGA-PBE) for a relaxed Y3Sc crystal.

It has space group Imm2 (No. 44), with a = 3.575 Å, b = 11.095 Å, c = 6.162 Å, α = 90.00°, β = 90.00° and γ = 90.00°. The distinct sites, in fractional coordinates, are Y at (0.000, 0.000, 0.000), Y at (0.000, 0.244, 0.341) and Sc at (0.000, 0.500, 0.007).



Relative energies with respect to the most stable structure, expressed in kJ/mol of atoms: i 2.8; ii 0.0.



i | Density functional theory data (GGA-PBE) for a relaxed YSc crystal.

It has space group Pnma (No. 62), with a = 6.035 Å, b = 5.404 Å, c = 6.979 Å, α = 90.00°, β = 90.00° and γ = 90.00°. The distinct sites, in fractional coordinates, are Y at (0.091, 0.250, 0.127) and Sc at (0.077, 0.250, 0.624).



ii | Density functional theory data (GGA-PBE) for a relaxed YSc crystal.

It has space group Pm-3m (No. 221), with a = 3.840 Å, b = 3.840 Å, c = 3.840 Å, α = 90.00°, β = 90.00° and γ = 90.00°. The distinct sites, in fractional coordinates, are Y at (0.000, 0.000, 0.000) and Sc at (0.500, 0.500, 0.500).



Relative energies with respect to the most stable structure, expressed in kJ/mol of atoms: i 0.0; ii 6.5.



i | Density functional theory data (GGA-PBE) for a relaxed YSc crystal.

It has space group I-43m (No. 217), with a = 9.424 Å, b = 9.424 Å, c = 9.424 Å, α = 90.00°, β = 90.00° and γ = 90.00°. The distinct sites, in fractional coordinates, are Y at (0.208, 0.208, 0.792) and Sc at (0.107, 0.107, 0.107).



ii | Density functional theory data (GGA-PBE) for a relaxed YSc crystal.

It has space group P4/nmm (No. 129, origin choice 2), with a = 3.442 Å, b = 3.442 Å, c = 9.549 Å, α = 90.00°, β = 90.00° and γ = 90.00°. The distinct sites, in fractional coordinates, are Y at (0.250, 0.250, 0.137) and Sc at (0.250, 0.250, 0.612).



Relative energies with respect to the most stable structure, expressed in kJ/mol of atoms: i 135.7; ii 0.0.



i | Density functional theory data (GGA-PBE) for a relaxed Y2Sc crystal.

It has space group P6_3/mmc (No. 194), with a = 6.4947 Å, b = 6.4947 Å, c = 10.0019 Å, α = 90.00°, β = 90.00° and γ = 120.00°. The distinct sites, in fractional coordinates, are Y at (0.0000, 0.0000, 0.0000), Y at (0.1753, 0.3505, 0.2500) and Sc at (0.3333, 0.6667, 0.5687).



ii | Density functional theory data (GGA-PBE) for a relaxed Y2Sc crystal.

It has space group P-1 (No. 2), with a = 3.467 Å, b = 6.617 Å, c = 8.476 Å, α = 75.00°, β = 78.25° and γ = 74.93°. The distinct sites, in fractional coordinates, are Y at (0.091, 0.118, 0.197), Y at (0.367, 0.603, 0.163) and Sc at (0.358, 0.264, 0.518).



iii | Density functional theory data (GGA-PBE) for a relaxed Y2Sc crystal.

It has space group I4/mcm (No. 140), with a = 8.042 Å, b = 8.042 Å, c = 5.731 Å, α = 90.00°, β = 90.00° and γ = 90.00°. The distinct sites, in fractional coordinates, are Y at (0.150, 0.350, 0.000) and Sc at (0.000, 0.000, 0.250).



Relative energies with respect to the most stable structure, expressed in kJ/mol of atoms: i 28.1; ii 0.0; iii 12.7.